Run one
{
  "formula": "RbMg2V",
  "functional": "PBE",
  "state": "relaxed",
  "lattice": [[5.7923, 0.0000, 0.0000], [0.0000, 5.7923, 0.0000], [0.0000, 0.0000, 20.1013]],
  "species": ["Rb", "Rb", "Rb", "Rb", "Mg", "Mg", "Mg", "Mg", "Mg", "Mg", "Mg", "Mg", "V", "V", "V", "V"],
  "fractional_positions": [[0.0000, 0.2500, 0.3750], [0.0000, 0.7500, 0.6250], [0.5000, 0.2500, 0.1250], [0.5000, 0.7500, 0.8750], [0.0000, 0.0000, 0.0000], [0.0000, 0.5000, 0.0000], [0.2500, 0.2500, 0.7500], [0.2500, 0.7500, 0.2500], [0.5000, 0.0000, 0.5000], [0.5000, 0.5000, 0.5000], [0.7500, 0.2500, 0.7500], [0.7500, 0.7500, 0.2500], [0.0000, 0.2500, 0.8750], [0.0000, 0.7500, 0.1250], [0.5000, 0.2500, 0.6250], [0.5000, 0.7500, 0.3750]],
  "vol_a3_per_atom": 42.15,
  "crystal_system": "tetragonal",
  "dos_ef_per_ev_cell": 15.6
}

Run two
{
  "formula": "RbMg2V",
  "functional": "PBE",
  "state": "relaxed",
  "lattice": [[7.7870, 0.0000, 0.0000], [0.0000, 7.7870, 0.0000], [0.0000, 0.0000, 7.7870]],
  "species": ["Rb", "Rb", "Rb", "Rb", "Mg", "Mg", "Mg", "Mg", "Mg", "Mg", "Mg", "Mg", "V", "V", "V", "V"],
  "fractional_positions": [[0.0000, 0.0000, 0.0000], [0.0000, 0.5000, 0.5000], [0.5000, 0.0000, 0.5000], [0.5000, 0.5000, 0.0000], [0.2500, 0.2500, 0.2500], [0.2500, 0.2500, 0.7500], [0.2500, 0.7500, 0.2500], [0.2500, 0.7500, 0.7500], [0.7500, 0.2500, 0.2500], [0.7500, 0.2500, 0.7500], [0.7500, 0.7500, 0.2500], [0.7500, 0.7500, 0.7500], [0.0000, 0.0000, 0.5000], [0.0000, 0.5000, 0.0000], [0.5000, 0.0000, 0.0000], [0.5000, 0.5000, 0.5000]],
  "vol_a3_per_atom": 29.51,
  "crystal_system": "cubic",
  "dos_ef_per_ev_cell": 13.2
}

Which is the most stable structure? run two is the most stable.

Run one
{
  "formula": "RbMg6V",
  "functional": "PBE",
  "state": "relaxed",
  "lattice": [[5.3332, 0.0000, 0.0000], [0.0000, 6.6006, 0.0000], [0.0000, 0.0000, 11.4496]],
  "species": ["Rb", "Rb", "Mg", "Mg", "Mg", "Mg", "Mg", "Mg", "Mg", "Mg", "Mg", "Mg", "Mg", "Mg", "V", "V"],
  "fractional_positions": [[0.0000, 0.0000, 0.0000], [0.0000, 0.5000, 0.5000], [0.0000, 0.0000, 0.4894], [0.0000, 0.2359, 0.2543], [0.0000, 0.2641, 0.7543], [0.0000, 0.5000, 0.9894], [0.0000, 0.7359, 0.7543], [0.0000, 0.7641, 0.2543], [0.5000, 0.0000, 0.8233], [0.5000, 0.2337, 0.5889], [0.5000, 0.2663, 0.0889], [0.5000, 0.5000, 0.3233], [0.5000, 0.7337, 0.0889], [0.5000, 0.7663, 0.5889], [0.5000, 0.0000, 0.3334], [0.5000, 0.5000, 0.8334]],
  "vol_a3_per_atom": 25.19,
  "crystal_system": "orthorhombic",
  "dos_ef_per_ev_cell": 6.8
}

Run two
{
  "formula": "RbMg6V",
  "functional": "PBE",
  "state": "relaxed",
  "lattice": [[3.3809, 0.0000, 0.0000], [0.0000, 11.1556, 0.0000], [0.0000, 0.0000, 11.1622]],
  "species": ["Rb", "Rb", "Mg", "Mg", "Mg", "Mg", "Mg", "Mg", "Mg", "Mg", "Mg", "Mg", "Mg", "Mg", "V", "V"],
  "fractional_positions": [[0.0000, 0.0000, 0.0000], [0.0000, 0.5000, 0.5000], [0.0000, 0.2484, 0.2548], [0.0000, 0.2516, 0.7548], [0.0000, 0.7484, 0.7548], [0.0000, 0.7516, 0.2548], [0.5000, 0.0000, 0.2928], [0.5000, 0.0000, 0.7051], [0.5000, 0.2061, 0.5056], [0.5000, 0.2939, 0.0056], [0.5000, 0.5000, 0.2051], [0.5000, 0.5000, 0.7928], [0.5000, 0.7061, 0.0056], [0.5000, 0.7939, 0.5056], [0.0000, 0.0000, 0.4979], [0.0000, 0.5000, 0.9979]],
  "vol_a3_per_atom": 26.31,
  "crystal_system": "orthorhombic",
  "dos_ef_per_ev_cell": 12.7
}

Which is the most stable structure? run two is the most stable.

Run one
{
  "formula": "RbMg3V",
  "functional": "PBE",
  "state": "relaxed",
  "lattice": [[5.5589, 0.0000, 0.0000], [0.0000, 5.5589, 0.0000], [0.0000, 0.0000, 5.5589]],
  "species": ["Rb", "Mg", "Mg", "Mg", "V"],
  "fractional_positions": [[0.0000, 0.0000, 0.0000], [0.0000, 0.5000, 0.5000], [0.5000, 0.0000, 0.5000], [0.5000, 0.5000, 0.0000], [0.5000, 0.5000, 0.5000]],
  "vol_a3_per_atom": 34.36,
  "crystal_system": "cubic",
  "dos_ef_per_ev_cell": 3.7
}

Run two
{
  "formula": "RbMg3V",
  "functional": "PBE",
  "state": "relaxed",
  "lattice": [[6.2018, 0.0000, 0.0000], [0.0000, 6.2018, 0.0000], [0.0000, 0.0000, 6.2018]],
  "species": ["Rb", "Mg", "Mg", "Mg", "V"],
  "fractional_positions": [[0.0000, 0.0000, 0.0000], [0.0000, 0.0000, 0.5000], [0.0000, 0.5000, 0.0000], [0.5000, 0.0000, 0.0000], [0.5000, 0.5000, 0.5000]],
  "vol_a3_per_atom": 47.71,
  "crystal_system": "cubic",
  "dos_ef_per_ev_cell": 11.1
}

Which is the most stable structure? run one is the most stable.

Run one
{
  "formula": "RbMg3W",
  "functional": "PBE",
  "state": "relaxed",
  "lattice": [[5.5349, 0.0000, 0.0000], [0.0000, 5.5349, 0.0000], [0.0000, 0.0000, 5.5349]],
  "species": ["Rb", "Mg", "Mg", "Mg", "W"],
  "fractional_positions": [[0.0000, 0.0000, 0.0000], [0.0000, 0.5000, 0.5000], [0.5000, 0.0000, 0.5000], [0.5000, 0.5000, 0.0000], [0.5000, 0.5000, 0.5000]],
  "vol_a3_per_atom": 33.91,
  "crystal_system": "cubic",
  "dos_ef_per_ev_cell": 3.9
}

Run two
{
  "formula": "RbMg3W",
  "functional": "PBE",
  "state": "relaxed",
  "lattice": [[5.1507, 0.0000, 0.0000], [0.0000, 5.1507, 0.0000], [0.0000, 0.0000, 5.1507]],
  "species": ["Rb", "Mg", "Mg", "Mg", "W"],
  "fractional_positions": [[0.0000, 0.0000, 0.0000], [0.0000, 0.0000, 0.5000], [0.0000, 0.5000, 0.0000], [0.5000, 0.0000, 0.0000], [0.5000, 0.5000, 0.5000]],
  "vol_a3_per_atom": 27.33,
  "crystal_system": "cubic",
  "dos_ef_per_ev_cell": 7.3
}

Which is the most stable structure? run one is the most stable.

Run one
{
  "formula": "RbMg14W",
  "functional": "PBE",
  "state": "relaxed",
  "lattice": [[6.4688, 0.0000, 0.0000], [-3.2344, 5.6021, 0.0000], [0.0000, 0.0000, 10.4941]],
  "species": ["Rb", "Mg", "Mg", "Mg", "Mg", "Mg", "Mg", "Mg", "Mg", "Mg", "Mg", "Mg", "Mg", "Mg", "Mg", "W"],
  "fractional_positions": [[0.0000, 0.0000, 0.0000], [0.0115, 0.5058, 0.0000], [0.1637, 0.3273, 0.2792], [0.1637, 0.3273, 0.7208], [0.1637, 0.8363, 0.2792], [0.1637, 0.8363, 0.7208], [0.4942, 0.5058, 0.0000], [0.4942, 0.9885, 0.0000], [0.5053, 0.0107, 0.5000], [0.5053, 0.4947, 0.5000], [0.6667, 0.3333, 0.2384], [0.6667, 0.3333, 0.7616], [0.6727, 0.8363, 0.2792], [0.6727, 0.8363, 0.7208], [0.9893, 0.4947, 0.5000], [0.0000, 0.0000, 0.5000]],
  "vol_a3_per_atom": 23.77,
  "crystal_system": "hexagonal",
  "dos_ef_per_ev_cell": 10.3
}

Run two
{
  "formula": "RbMg14W",
  "functional": "PBE",
  "state": "relaxed",
  "lattice": [[4.6488, -4.6614, 0.0000], [4.6488, 4.6614, 0.0000], [0.0000, 0.0000, 8.6195]],
  "species": ["Rb", "Mg", "Mg", "Mg", "Mg", "Mg", "Mg", "Mg", "Mg", "Mg", "Mg", "Mg", "Mg", "Mg", "Mg", "W"],
  "fractional_positions": [[0.0000, 0.0000, 0.0000], [0.0000, 0.0000, 0.5000], [0.0000, 0.5000, 0.0000], [0.0000, 0.5000, 0.5000], [0.2738, 0.2738, 0.2483], [0.2738, 0.2738, 0.7517], [0.2739, 0.7261, 0.2483], [0.2739, 0.7261, 0.7517], [0.5000, 0.0000, 0.0000], [0.5000, 0.0000, 0.5000], [0.5000, 0.5000, 0.5000], [0.7261, 0.2739, 0.2483], [0.7261, 0.2739, 0.7517], [0.7262, 0.7262, 0.2483], [0.7262, 0.7262, 0.7517], [0.5000, 0.5000, 0.0000]],
  "vol_a3_per_atom": 23.35,
  "crystal_system": "orthorhombic",
  "dos_ef_per_ev_cell": 9.5
}

Which is the most stable structure? run two is the most stable.

Run one
{
  "formula": "RbYMg14",
  "functional": "PBE",
  "state": "relaxed",
  "lattice": [[6.7299, 0.0000, 0.0000], [-3.3649, 5.8282, 0.0000], [0.0000, 0.0000, 10.5606]],
  "species": ["Rb", "Y", "Mg", "Mg", "Mg", "Mg", "Mg", "Mg", "Mg", "Mg", "Mg", "Mg", "Mg", "Mg", "Mg", "Mg"],
  "fractional_positions": [[0.0000, 0.0000, 0.0000], [0.0000, 0.0000, 0.5000], [0.0038, 0.5019, 0.5000], [0.0096, 0.5048, 0.0000], [0.1734, 0.3467, 0.2604], [0.1734, 0.3467, 0.7396], [0.1734, 0.8266, 0.2604], [0.1734, 0.8266, 0.7396], [0.4952, 0.5048, 0.0000], [0.4952, 0.9904, 0.0000], [0.4981, 0.5019, 0.5000], [0.4981, 0.9962, 0.5000], [0.6533, 0.8266, 0.2604], [0.6533, 0.8266, 0.7396], [0.6667, 0.3333, 0.2502], [0.6667, 0.3333, 0.7498]],
  "vol_a3_per_atom": 25.89,
  "crystal_system": "hexagonal",
  "dos_ef_per_ev_cell": 7.9
}

Run two
{
  "formula": "RbYMg14",
  "functional": "PBE",
  "state": "relaxed",
  "lattice": [[10.7164, 0.0000, 0.0000], [0.0000, 3.2893, 5.8164], [0.0000, -3.2893, 5.8164]],
  "species": ["Rb", "Y", "Mg", "Mg", "Mg", "Mg", "Mg", "Mg", "Mg", "Mg", "Mg", "Mg", "Mg", "Mg", "Mg", "Mg"],
  "fractional_positions": [[0.0000, 0.0000, 0.0000], [0.0000, 0.4858, 0.4858], [0.0000, 0.5023, 0.9891], [0.0000, 0.9891, 0.5023], [0.2472, 0.6593, 0.6593], [0.2614, 0.1712, 0.1712], [0.2651, 0.1644, 0.6547], [0.2651, 0.6547, 0.1644], [0.5000, 0.9999, 0.9999], [0.5000, 0.4997, 0.4997], [0.5000, 0.5006, 0.9907], [0.5000, 0.9907, 0.5006], [0.7349, 0.1644, 0.6547], [0.7349, 0.6547, 0.1644], [0.7386, 0.1712, 0.1712], [0.7528, 0.6593, 0.6593]],
  "vol_a3_per_atom": 25.63,
  "crystal_system": "orthorhombic",
  "dos_ef_per_ev_cell": 8.6
}

Which is the most stable structure? run one is the most stable.